RbCr2TeO8 PBE+U optimized geometry; raw total energy = -6.163 eV/atom
1.0
5.3403 -0.1233 0.1070
2.3541 4.7950 0.1070
0.5267 0.3198 8.4339
Rb Cr Te O
1 2 1 8
Direct
0.0000 0.0000 0.5000
0.6244 0.6244 0.2079
0.3756 0.3756 0.7921
0.0000 0.0000 0.0000
0.7281 0.2329 0.8148
0.7689 0.7689 0.0564
0.6905 0.6905 0.3801
0.3095 0.3095 0.6199
0.2311 0.2311 0.9436
0.2329 0.7281 0.8148
0.7671 0.2719 0.1852
0.2719 0.7671 0.1852